Entry 1:
First-principles (PBE-GGA) data for a relaxed structure of Ac6Tl5Sn, as listed in Alexandria.

abc: 5.812 17.533 8.280
angles: 90.00 90.05 90.00
Space group C2/m (No. 12)
One atom of each set of equivalent atoms:
Ac1 0.000 0.000 0.245 [4 per cell]
Ac2 0.000 0.336 0.251 [8 per cell]
Tl1 0.000 0.166 0.500 [4 per cell]
Tl2 0.000 0.173 0.000 [4 per cell]
Tl3 0.000 0.500 0.500 [2 per cell]
Sn1 0.000 0.500 0.000 [2 per cell]

For the energy of formation from the pure elements, the calculation gives -405 meV/atom.



Entry 2:
First-principles (PBE-GGA) data for a relaxed structure of HfCoNiP, as listed in Alexandria.

abc: 3.716 3.575 8.464
angles: 90.00 90.00 90.00
Space group Amm2 (No. 38)
One atom of each set of equivalent atoms:
Hf1 0.000 0.000 0.000 [2 per cell]
Co1 0.000 0.000 0.716 [2 per cell]
Ni1 0.500 0.000 0.307 [2 per cell]
P1 0.500 0.000 0.588 [2 per cell]

For the energy of formation from the pure elements, the calculation gives -520 meV/atom.



Entry 3:
First-principles (PBE-GGA) data for a relaxed structure of MgGaCoAu, as listed in Alexandria.

abc: 6.233 6.233 6.233
angles: 90.00 90.00 90.00
Space group F-43m (No. 216)
One atom of each set of equivalent atoms:
Mg1 0.000 0.000 0.000 [4 per cell]
Ga1 0.000 0.000 0.500 [4 per cell]
Co1 0.250 0.250 0.750 [4 per cell]
Au1 0.250 0.250 0.250 [4 per cell]

For the energy of formation from the pure elements, the calculation gives -171 meV/atom.



Entry 4:
First-principles (PBE-GGA) data for a relaxed structure of Pm2Tl3PbSe6, as listed in Alexandria.

abc: 7.529 13.053 7.883
angles: 90.00 108.33 90.00
Space group C2/m (No. 12)
One atom of each set of equivalent atoms:
Pm1 0.000 0.168 0.000 [4 per cell]
Tl1 0.000 0.000 0.500 [2 per cell]
Tl2 0.000 0.335 0.500 [4 per cell]
Pb1 0.000 0.500 0.000 [2 per cell]
Se1 0.224 0.000 0.217 [4 per cell]
Se2 0.247 0.326 0.221 [8 per cell]

As for the formation energy without anion corrections: -12.5 eV per formula unit.



Entry 5:
First-principles (PBE-GGA) data for a relaxed structure of Na5B7C3, as listed in Alexandria.

abc: 14.286 5.103 10.300
angles: 90.00 123.73 90.00
Space group C2 (No. 5)
One atom of each set of equivalent atoms:
Na1 0.002 0.000 0.254 [4 per cell]
Na2 0.099 0.501 0.747 [4 per cell]
Na3 0.102 0.503 0.255 [4 per cell]
Na4 0.199 0.001 0.747 [4 per cell]
Na5 0.202 0.000 0.253 [4 per cell]
B1 0.000 0.153 0.000 [2 per cell]
B2 0.000 0.188 0.500 [2 per cell]
B3 0.000 0.823 0.000 [2 per cell]
B4 0.000 0.834 0.500 [2 per cell]
B5 0.096 0.367 0.001 [4 per cell]
B6 0.105 0.667 0.500 [4 per cell]
B7 0.196 0.828 0.000 [4 per cell]
B8 0.197 0.159 0.000 [4 per cell]
B9 0.199 0.170 0.500 [4 per cell]
C1 0.098 0.668 0.001 [4 per cell]
C2 0.101 0.335 0.500 [4 per cell]
C3 0.202 0.830 0.499 [4 per cell]

For the energy of formation from the pure elements, the calculation gives 148 meV/atom.



Entry 6:
First-principles (PBE-GGA) data for a relaxed structure of SrPuInBi, as listed in Alexandria.

abc: 7.975 7.975 7.975
angles: 90.00 90.00 90.00
Space group F-43m (No. 216)
One atom of each set of equivalent atoms:
Sr1 0.000 0.000 0.000 [4 per cell]
Pu1 0.000 0.000 0.500 [4 per cell]
In1 0.250 0.250 0.750 [4 per cell]
Bi1 0.250 0.250 0.250 [4 per cell]

For the energy of formation from the pure elements, the calculation gives -295 meV/atom.



Entry 7:
First-principles (PBE-GGA) data for a relaxed structure of LaSbO3, as listed in Alexandria.

abc: 4.249 4.249 4.249
angles: 90.00 90.00 90.00
Space group Pm-3m (No. 221)
One atom of each set of equivalent atoms:
La1 0.000 0.000 0.000 [1 per cell]
Sb1 0.500 0.500 0.500 [1 per cell]
O1 0.000 0.500 0.500 [3 per cell]

As for the formation energy without anion corrections: -9.1 eV per formula unit.



Entry 8:
First-principles (PBE-GGA) data for a relaxed structure of Mg2Fe3, as listed in Alexandria.

abc: 4.2289 4.2289 5.3083
angles: 90.00 90.00 120.00
Space group P-3m1 (No. 164)
One atom of each set of equivalent atoms:
Mg1 0.3333 0.6667 0.3401 [2 per cell]
Fe1 0.0000 0.0000 0.5000 [1 per cell]
Fe2 0.3333 0.6667 0.8591 [2 per cell]

For the energy of formation from the pure elements, the calculation gives 800 meV/atom.



Entry 9:
First-principles (PBE-GGA) data for a relaxed structure of Li2ZrTa, as listed in Alexandria.

abc: 4.565 4.565 3.213
angles: 90.00 90.00 90.00
Space group P4/mmm (No. 123)
One atom of each set of equivalent atoms:
Li1 0.000 0.500 0.000 [2 per cell]
Zr1 0.000 0.000 0.500 [1 per cell]
Ta1 0.500 0.500 0.500 [1 per cell]

For the energy of formation from the pure elements, the calculation gives 530 meV/atom.



Entry 10:
First-principles (PBE-GGA) data for a relaxed structure of Ca2BeCu, as listed in Alexandria.

abc: 4.379 4.379 8.939
angles: 90.00 90.00 90.00
Space group I-4m2 (No. 119)
One atom of each set of equivalent atoms:
Ca1 0.000 0.000 0.000 [2 per cell]
Ca2 0.000 0.500 0.250 [2 per cell]
Be1 0.000 0.000 0.500 [2 per cell]
Cu1 0.000 0.500 0.750 [2 per cell]

For the energy of formation from the pure elements, the calculation gives 365 meV/atom.



Entry 11:
First-principles (PBE-GGA) data for a relaxed structure of Ac2SmCrN4, as listed in Alexandria.

abc: 3.667 13.371 12.643
angles: 90.00 90.00 90.00
Space group Cmcm (No. 63)
One atom of each set of equivalent atoms:
Ac1 0.000 0.128 0.039 [8 per cell]
Sm1 0.000 0.347 0.250 [4 per cell]
Cr1 0.000 0.320 0.750 [4 per cell]
N1 0.000 0.140 0.250 [4 per cell]
N2 0.000 0.225 0.638 [8 per cell]
N3 0.000 0.500 0.000 [4 per cell]

As for the formation energy without anion corrections: -6.7 eV per formula unit.



Entry 12:
First-principles (PBE-GGA) data for a relaxed structure of Sc2InIr, as listed in Alexandria.

abc: 3.1012 3.1012 30.0044
angles: 90.00 90.00 120.00
Space group R-3m (No. 166, hexagonal axes)
One atom of each set of equivalent atoms:
Sc1 0.0000 0.0000 0.0818 [6 per cell]
In1 0.0000 0.0000 0.5000 [3 per cell]
Ir1 0.0000 0.0000 0.0000 [3 per cell]

For the energy of formation from the pure elements, the calculation gives 45 meV/atom.



It is found that the E_tot values, taken in the order of the records, are -90.7 -60.7 -62.8 -107.3 -315.2 -95.3 -33.0 -24.6 -22.1 -20.7 -250.2 -72.2 eV per cell.